1.
# DyHo6Sc4

A relaxed structure of DyHo6Sc4 (PBE-GGA, the Alexandria database).

Structure (CIF):
```
data_DyHo6Sc4
_chemical_formula_sum 'Dy1 Ho6 Sc4'
_cell_length_a 8.6390
_cell_length_b 8.6390
_cell_length_c 5.2156
_cell_angle_alpha 90.00
_cell_angle_beta 90.00
_cell_angle_gamma 120.00
_space_group_name_H-M_alt 'P -6 m 2'
_space_group_IT_number 187
_space_group_name_Hall 'P -6 2'
loop_
_atom_site_label
_atom_site_fract_x
_atom_site_fract_y
_atom_site_fract_z
Dy1 0.0000 0.0000 0.0000
Ho1 0.2002 0.4005 0.5000
Ho2 0.5335 0.0671 0.0000
Sc1 0.3333 0.6667 0.0000
Sc2 0.4264 0.2132 0.5000
```

Output
calculated volume	337	Å³ per cell
DFT formation energy	0.3432	eV/atom
polymorph energy (0 for the lowest one)	179	meV/atom
spin magnetization	0.039	μB/f.u.

***

2.
# Dy6Ho8Sc

A relaxed structure of Dy6Ho8Sc (PBE-GGA, the Alexandria database).

Structure (CIF):
```
data_Dy6Ho8Sc
_chemical_formula_sum 'Dy18 Ho24 Sc3'
_cell_length_a 8.9577
_cell_length_b 8.9577
_cell_length_c 20.3455
_cell_angle_alpha 90.00
_cell_angle_beta 90.00
_cell_angle_gamma 120.00
_space_group_name_H-M_alt 'R -3'
_space_group_IT_number 148
_space_group_name_Hall '-R 3'
loop_
_atom_site_label
_atom_site_fract_x
_atom_site_fract_y
_atom_site_fract_z
Dy1 0.0703 0.8188 0.2075
Ho1 0.0000 0.0000 0.0767
Ho2 0.0829 0.5294 0.3075
Sc1 0.0000 0.0000 0.5000
```

Output
calculated volume	1414	Å³ per cell
DFT formation energy	0.1208	eV/atom
polymorph energy (0 for the lowest one)	0	meV/atom
spin magnetization	0.000	μB/f.u.

***

3.
# Dy2Ho4Sc

A relaxed structure of Dy2Ho4Sc (PBE-GGA, the Alexandria database).

Structure (CIF):
```
data_Dy2Ho4Sc
_chemical_formula_sum 'Dy4 Ho8 Sc2'
_cell_length_a 6.0148
_cell_length_b 6.4712
_cell_length_c 11.3266
_cell_angle_alpha 90.00
_cell_angle_beta 105.02
_cell_angle_gamma 90.00
_space_group_name_H-M_alt 'P 1 21/m 1'
_space_group_IT_number 11
_space_group_name_Hall '-P 2yb'
loop_
_atom_site_label
_atom_site_fract_x
_atom_site_fract_y
_atom_site_fract_z
Dy1 0.1102 0.2500 0.0015
Dy2 0.2178 0.2500 0.5755
Ho1 0.1452 0.0042 0.2873
Ho2 0.3506 0.7500 0.5605
Ho3 0.4699 0.7500 0.1339
Sc1 0.3453 0.7500 0.8387
```

Output
calculated volume	426	Å³ per cell
DFT formation energy	0.1439	eV/atom
polymorph energy (0 for the lowest one)	0	meV/atom
spin magnetization	0.004	μB/f.u.

***

4.
# DyHo5Sc3

A relaxed structure of DyHo5Sc3 (PBE-GGA, the Alexandria database).

Structure (CIF):
```
data_DyHo5Sc3
_chemical_formula_sum 'Dy4 Ho20 Sc12'
_cell_length_a 14.5227
_cell_length_b 11.0954
_cell_length_c 9.5237
_cell_angle_alpha 90.00
_cell_angle_beta 129.69
_cell_angle_gamma 90.00
_space_group_name_H-M_alt 'C 1 2/m 1'
_space_group_IT_number 12
_space_group_name_Hall '-C 2y'
loop_
_atom_site_label
_atom_site_fract_x
_atom_site_fract_y
_atom_site_fract_z
Dy1 0.2461 0.0000 0.0962
Ho1 0.0000 0.2434 0.5000
Ho2 0.1381 0.2476 0.2415
Ho3 0.2176 0.5000 0.5325
Ho4 0.2218 0.0000 0.7337
Sc1 0.0000 0.0000 0.0000
Sc2 0.0000 0.5000 0.5000
Sc3 0.0119 0.0000 0.3191
Sc4 0.0211 0.5000 0.8654
```

Output
calculated volume	1181	Å³ per cell
DFT formation energy	0.4795	eV/atom
spin magnetization	0.001	μB/f.u.

***

5.
# DyHo4Sc15

A relaxed structure of DyHo4Sc15 (PBE-GGA, the Alexandria database).

Structure (CIF):
```
data_DyHo4Sc15
_chemical_formula_sum 'Dy1 Ho4 Sc15'
_cell_length_a 4.7022
_cell_length_b 4.7022
_cell_length_c 23.5274
_cell_angle_alpha 90.00
_cell_angle_beta 90.00
_cell_angle_gamma 90.00
_space_group_name_H-M_alt 'P 4/m m m'
_space_group_IT_number 123
_space_group_name_Hall '-P 4 2'
loop_
_atom_site_label
_atom_site_fract_x
_atom_site_fract_y
_atom_site_fract_z
Dy1 0.0000 0.0000 0.0000
Ho1 0.0000 0.0000 0.2002
Ho2 0.0000 0.0000 0.4001
Sc1 0.0000 0.5000 0.1002
Sc2 0.0000 0.5000 0.3001
Sc3 0.0000 0.5000 0.5000
Sc4 0.5000 0.5000 0.0000
Sc5 0.5000 0.5000 0.2002
Sc6 0.5000 0.5000 0.4001
```

Output
calculated volume	520	Å³ per cell
DFT formation energy	0.0565	eV/atom
spin magnetization	0.007	μB/f.u.

***

6.
# DyHo4Sc2

A relaxed structure of DyHo4Sc2 (PBE-GGA, the Alexandria database).

Structure (CIF):
```
data_DyHo4Sc2
_chemical_formula_sum 'Dy2 Ho8 Sc4'
_cell_length_a 8.8933
_cell_length_b 8.8933
_cell_length_c 5.5201
_cell_angle_alpha 90.00
_cell_angle_beta 90.00
_cell_angle_gamma 90.00
_space_group_name_H-M_alt 'P 42/m n m'
_space_group_IT_number 136
_space_group_name_Hall '-P 4n 2n'
loop_
_atom_site_label
_atom_site_fract_x
_atom_site_fract_y
_atom_site_fract_z
Dy1 0.0000 0.0000 0.0000
Ho1 0.1049 0.3627 0.0000
Sc1 0.1882 0.1882 0.5000
```

Output
calculated volume	437	Å³ per cell
DFT formation energy	0.2767	eV/atom
polymorph energy (0 for the lowest one)	132	meV/atom
spin magnetization	0.000	μB/f.u.

***

7.
# Dy8Ho4Sc

A relaxed structure of Dy8Ho4Sc (PBE-GGA, the Alexandria database).

Structure (CIF):
```
data_Dy8Ho4Sc
_chemical_formula_sum 'Dy24 Ho12 Sc3'
_cell_length_a 7.2225
_cell_length_b 7.2225
_cell_length_c 26.9424
_cell_angle_alpha 90.00
_cell_angle_beta 90.00
_cell_angle_gamma 120.00
_space_group_name_H-M_alt 'R -3 m'
_space_group_IT_number 166
_space_group_name_Hall '-R 3 2"'
loop_
_atom_site_label
_atom_site_fract_x
_atom_site_fract_y
_atom_site_fract_z
Dy1 0.0000 0.0000 0.2167
Dy2 0.0313 0.5157 0.7690
Ho1 0.0000 0.0000 0.0000
Ho2 0.0000 0.5000 0.0000
Sc1 0.0000 0.0000 0.5000
```

Output
calculated volume	1217	Å³ per cell
DFT formation energy	0.1931	eV/atom
spin magnetization	0.006	μB/f.u.

***

8.
# Dy10HoSc6

A relaxed structure of Dy10HoSc6 (PBE-GGA, the Alexandria database).

Structure (CIF):
```
data_Dy10HoSc6
_chemical_formula_sum 'Dy10 Ho1 Sc6'
_cell_length_a 9.3505
_cell_length_b 9.3505
_cell_length_c 6.6129
_cell_angle_alpha 90.00
_cell_angle_beta 90.00
_cell_angle_gamma 120.00
_space_group_name_H-M_alt 'P -3 1 m'
_space_group_IT_number 162
_space_group_name_Hall '-P 3 2'
loop_
_atom_site_label
_atom_site_fract_x
_atom_site_fract_y
_atom_site_fract_z
Dy1 0.0000 0.2813 0.3186
Dy2 0.3333 0.6667 0.0000
Dy3 0.3333 0.6667 0.5000
Ho1 0.0000 0.0000 0.0000
Sc1 0.0000 0.3679 0.8183
```

Output
calculated volume	501	Å³ per cell
DFT formation energy	0.1376	eV/atom
spin magnetization	0.002	μB/f.u.